Density functional theory data (GGA-PBE) for In2Sb after structural relaxation.

Cell lengths 8.8035, 8.8035, 8.8035 Å; angles 90.00, 90.00, 90.00 degrees
Space group Fd-3m (No. 227, origin choice 2)
Symmetry-distinct sites (fractional):
In  0.0000  0.0000  0.0000 x16
Sb  0.1250  0.1250  0.6250 x8

## Properties
The value obtained for the total moment is 0.0 μB/cell. As for the calculated density: 6.84 g/cm3. The formation energy from raw total energies is 0.25 eV/atom. The density of states at the Fermi level is 2.95 states/eV/f.u. For the total DFT energy (no corrections), the calculation gives -2.953 eV per atom.